Model 1:
A plane-wave DFT calculation with meta-GGA SCAN was carried out for HgSe2Cl at its PBEsol-relaxed geometry.

crystal system: orthorhombic

a b c (Å): 3.7827 3.7829 7.2341
angles (deg): 105.05 105.05 90.43
Fractional positions:
1 Se 0.5000 0.0000 0.5000
2 Se 0.0000 0.5000 0.5000
3 Hg 0.0000 0.0000 0.0000
4 Cl 0.5000 0.5000 0.0000

Model 2:
A plane-wave DFT calculation with meta-GGA SCAN was carried out for HgSe2Cl at its PBEsol-relaxed geometry.

crystal system: monoclinic

a b c (Å): 3.8541 4.1000 7.3481
angles (deg): 100.83 90.00 118.04
Fractional positions:
1 Cl 0.4475 0.8950 0.4570
2 Se 0.0620 0.1240 0.9982
3 Se 0.2594 0.5189 0.7957
4 Hg 0.7311 0.4621 0.2491

Which structure wins on stability? model 2 wins.

Model 1:
A plane-wave DFT calculation with meta-GGA SCAN was carried out for SiHg2Cl at its PBEsol-relaxed geometry.

crystal system: orthorhombic

a b c (Å): 3.1216 4.1584 7.8942
angles (deg): 105.27 101.40 90.00
Fractional positions:
1 Hg 0.9755 0.9755 0.9510
2 Hg 0.8235 0.3235 0.6471
3 Cl 0.1636 0.6636 0.3273
4 Si 0.5373 0.5373 0.0746

Model 2:
A plane-wave DFT calculation with meta-GGA SCAN was carried out for SiHg2Cl at its PBEsol-relaxed geometry.

crystal system: monoclinic

a b c (Å): 3.1031 4.7631 6.6816
angles (deg): 111.08 90.00 90.00
Fractional positions:
1 Cl 0.5000 0.5000 0.5000
2 Hg 0.0000 0.8167 0.1317
3 Hg 0.0000 0.1833 0.8683
4 Si 0.5000 0.0000 0.5000

Which structure wins on stability? model 2 wins.

Model 1:
A plane-wave DFT calculation with meta-GGA SCAN was carried out for Si2HgCl at its PBEsol-relaxed geometry.

crystal system: tetragonal

a b c (Å): 5.5701 5.5701 7.6242
angles (deg): 111.43 111.43 90.00
Fractional positions:
1 Hg 0.0000 0.0000 0.0000
2 Hg 0.2500 0.7500 0.5000
3 Si 0.3578 0.8750 0.2500
4 Si 0.8922 0.3750 0.2500
5 Si 0.1250 0.1078 0.7500
6 Si 0.6250 0.6422 0.7500
7 Cl 0.7500 0.2500 0.5000
8 Cl 0.5000 0.5000 0.0000

Model 2:
A plane-wave DFT calculation with meta-GGA SCAN was carried out for Si2HgCl at its PBEsol-relaxed geometry.

crystal system: orthorhombic

a b c (Å): 2.8330 4.7071 5.6557
angles (deg): 90.00 90.00 90.00
Fractional positions:
1 Si 0.0000 0.0000 0.2367
2 Si 0.0000 0.0000 0.7633
3 Cl 0.5000 0.5000 0.0000
4 Hg 0.5000 0.5000 0.5000

Which structure wins on stability? model 2 wins.